i) # SiHN2

A relaxed SiHN2 crystal (PBE, Alexandria).

POSCAR file:
```
SiHN2
1.0
1.4263 0.8235 4.3655
-1.4263 0.8235 4.3655
0.0000 -1.6469 4.3655
Si H N
1 1 2
Direct
0.0000 0.0000 0.0000
0.5000 0.5000 0.5000
0.4041 0.4041 0.4041
0.5959 0.5959 0.5959
```

Values from the calculation:
Its theoretical density is 3.1 g/cm3. The calculation puts the magnetization at 0.12 μB per atom. The symmetry is R-3m.



ii) # SiHN2

A relaxed SiHN2 crystal (PBE, Alexandria).

POSCAR file:
```
SiHN2
1.0
-1.9794 1.9794 4.2068
1.9794 -1.9794 4.2068
1.9794 1.9794 -4.2068
Si H N
2 2 4
Direct
0.0000 0.0000 0.0000
0.7500 0.2500 0.5000
0.2500 0.7500 0.5000
0.5000 0.5000 0.0000
0.1214 0.6250 0.9964
0.3750 0.3714 0.4964
0.6286 0.1250 0.0036
0.8750 0.8786 0.5036
```

Values from the calculation:
Its theoretical density is 2.9 g/cm3. The calculation puts the magnetization at 0.25 μB per atom. The symmetry is I-42d.



iii) # SiHN2

A relaxed SiHN2 crystal (PBE, Alexandria).

POSCAR file:
```
SiHN2
1.0
1.4393 0.8310 5.1992
-1.4393 0.8310 5.1992
0.0000 -1.6620 5.1992
Si H N
1 1 2
Direct
0.0000 0.0000 0.0000
0.5000 0.5000 0.5000
0.1072 0.1072 0.1072
0.8928 0.8928 0.8928
```

Values from the calculation:
Its theoretical density is 2.5 g/cm3. The calculation puts the magnetization at 0.00 μB per atom. The symmetry is R-3m.



iv) # SiHN2

A relaxed SiHN2 crystal (PBE, Alexandria).

POSCAR file:
```
SiHN2
1.0
0.0000 2.3812 2.3812
2.3812 0.0000 2.3812
2.3812 2.3812 0.0000
Si H N
1 1 2
Direct
0.0000 0.0000 0.0000
0.5000 0.5000 0.5000
0.2500 0.2500 0.2500
0.7500 0.7500 0.7500
```

Values from the calculation:
Its theoretical density is 3.5 g/cm3. The calculation puts the magnetization at 0.02 μB per atom. The symmetry is Fm-3m.



i) comes first in stability; the runner-up is 439 meV per atom higher.



i) # SiH3N

A relaxed SiH3N crystal (PBE, Alexandria).

POSCAR file:
```
SiH3N
1.0
3.1971 0.0000 0.0000
0.0000 3.1971 0.0000
0.0000 0.0000 3.1971
Si H N
1 3 1
Direct
0.0000 0.0000 0.0000
0.0000 0.5000 0.5000
0.5000 0.0000 0.5000
0.5000 0.5000 0.0000
0.5000 0.5000 0.5000
```

Values from the calculation:
Its theoretical density is 2.3 g/cm3. The calculation puts the magnetization at 0.00 μB per atom. The symmetry is Pm-3m.



ii) # SiH3N

A relaxed SiH3N crystal (PBE, Alexandria).

POSCAR file:
```
SiH3N
1.0
3.4195 0.0000 0.0000
0.0000 3.4195 0.0000
0.0000 0.0000 3.4195
Si H N
1 3 1
Direct
0.0000 0.0000 0.0000
0.0000 0.0000 0.5000
0.0000 0.5000 0.0000
0.5000 0.0000 0.0000
0.5000 0.5000 0.5000
```

Values from the calculation:
Its theoretical density is 1.9 g/cm3. The calculation puts the magnetization at 0.47 μB per atom. The symmetry is Pm-3m.



ii) comes first in stability; the runner-up is 25 meV per atom higher.



i) # Si2HN

A relaxed Si2HN crystal (PBE, Alexandria).

POSCAR file:
```
Si2HN
1.0
-2.2401 2.2401 4.0364
2.2401 -2.2401 4.0364
2.2401 2.2401 -4.0364
Si H N
4 2 2
Direct
0.1178 0.6250 0.9928
0.3750 0.3678 0.4928
0.6322 0.1250 0.0072
0.8750 0.8822 0.5072
0.0000 0.0000 0.0000
0.7500 0.2500 0.5000
0.2500 0.7500 0.5000
0.5000 0.5000 0.0000
```

Values from the calculation:
Its theoretical density is 2.9 g/cm3. The calculation puts the magnetization at 0.00 μB per atom. The symmetry is I-42d.



ii) # Si2HN

A relaxed Si2HN crystal (PBE, Alexandria).

POSCAR file:
```
Si2HN
1.0
0.0000 2.6916 2.6916
2.6916 0.0000 2.6916
2.6916 2.6916 0.0000
Si H N
2 1 1
Direct
0.2500 0.2500 0.2500
0.7500 0.7500 0.7500
0.0000 0.0000 0.0000
0.5000 0.5000 0.5000
```

Values from the calculation:
Its theoretical density is 3.0 g/cm3. The calculation puts the magnetization at 0.00 μB per atom. The symmetry is Fm-3m.



i) comes first in stability; the runner-up is 761 meV per atom higher.



i) # SiH2N

A relaxed SiH2N crystal (PBE, Alexandria).

POSCAR file:
```
SiH2N
1.0
0.0000 2.3414 2.3414
2.3414 0.0000 2.3414
2.3414 2.3414 0.0000
Si H N
1 2 1
Direct
0.0000 0.0000 0.0000
0.2500 0.2500 0.2500
0.7500 0.7500 0.7500
0.5000 0.5000 0.5000
```

Values from the calculation:
Its theoretical density is 2.9 g/cm3. The calculation puts the magnetization at 0.00 μB per atom. The symmetry is Fm-3m.



ii) # SiH2N

A relaxed SiH2N crystal (PBE, Alexandria).

POSCAR file:
```
SiH2N
1.0
-2.1582 2.1582 3.0433
2.1582 -2.1582 3.0433
2.1582 2.1582 -3.0433
Si H N
2 4 2
Direct
0.3750 0.6250 0.7500
0.6250 0.3750 0.2500
0.0000 0.0000 0.0000
0.0000 0.0000 0.5000
0.0000 0.5000 0.0000
0.5000 0.0000 0.5000
0.1250 0.8750 0.2500
0.8750 0.1250 0.7500
```

Values from the calculation:
Its theoretical density is 2.6 g/cm3. The calculation puts the magnetization at 0.00 μB per atom. The symmetry is I4_1/amd.



ii) comes first in stability; the runner-up is 669 meV per atom higher.